# KAg2Cl (PBE-GGA, optimized geometry)
data_KAg2Cl
_chemical_formula_sum 'K2 Ag4 Cl2'
_cell_length_a 9.288
_cell_length_b 3.405
_cell_length_c 7.671
_cell_angle_alpha 90.00
_cell_angle_beta 112.17
_cell_angle_gamma 90.00
_space_group_name_H-M_alt 'C 1 m 1'
_space_group_IT_number 8
_space_group_name_Hall 'C -2y'
loop_
_atom_site_label
_atom_site_type_symbol
_atom_site_fract_x
_atom_site_fract_y
_atom_site_fract_z
_atom_site_occupancy
K1 K 0.000 0.000 0.000 1
Ag1 Ag 0.159 0.000 0.645 1
Ag2 Ag 0.402 0.000 0.520 1
Cl1 Cl 0.281 0.500 0.201 1
# **Uncorrected formation energy**: -0.419 eV/atom
# **Calculated total energy**: -2.581 eV per atom
# **Size of the total moment**: 0.00 μB/cell